1.
The following is a DFT calculation (PBE) of a geometry-optimized SrNiBi2 structure.

Unit cell a=7.6305 b=7.6305 c=7.6305 alpha=90.00 beta=90.00 gamma=90.00
With the nearest neighbours (Å) after each atom.
Space group F-43m (No. 216)
Inequivalent atoms, fractional coordinates:
Sr: 0.0000 0.0000 0.0000 (multiplicity 4)  4 Bi 3.30, 4 Ni 3.30
Ni: 0.2500 0.2500 0.2500 (multiplicity 4)  4 Sr 3.30, 4 Bi 3.30
Bi: 0.0000 0.0000 0.5000 (multiplicity 4)  4 Ni 3.30, 4 Bi 3.30
Bi: 0.2500 0.2500 0.7500 (multiplicity 4)  4 Bi 3.30, 4 Sr 3.30

Crystal system ... cubic
Calculated total energy ... -3.78 eV/atom
Magnetic moment ... 0.05 Bohr magnetons per cell


2.
The following is a DFT calculation (PBE) of a geometry-optimized LiHf2O6 structure.

Unit cell a=5.3522 b=9.9731 c=3.9707 alpha=90.00 beta=96.52 gamma=90.00
With the nearest neighbours (Å) after each atom.
Space group C2 (No. 5)
Inequivalent atoms, fractional coordinates:
Li: 0.0000 0.0000 0.0000 (multiplicity 2)  4 O 1.91-2.13
Hf: 0.0000 0.3072 0.5000 (multiplicity 2)  6 O 2.00-2.17
Hf: 0.0000 0.6161 0.5000 (multiplicity 2)  6 O 2.01-2.14
O: 0.2128 0.1567 0.8077 (multiplicity 4)  1 O 1.83
O: 0.2179 0.4610 0.6744 (multiplicity 4)  1 Li 1.91, 2 Hf 2.00-2.01
O: 0.2206 0.7586 0.8090 (multiplicity 4)  1 O 1.83

Relative energy among the computed polymorphs ... 45 meV/atom
Crystal system ... monoclinic
Calculated total energy ... -7.97 eV/atom
Magnetic moment ... 1.96 Bohr magnetons per cell


3.
The following is a DFT calculation (PBE) of a geometry-optimized NdGeSb structure.

Unit cell a=7.2236 b=7.2236 c=7.2236 alpha=90.00 beta=90.00 gamma=90.00
With the nearest neighbours (Å) after each atom.
Space group F-43m (No. 216)
Inequivalent atoms, fractional coordinates:
Nd: 0.0000 0.0000 0.0000 (multiplicity 4)  4 Ge 3.13, 4 Sb 3.13
Ge: 0.2500 0.2500 0.7500 (multiplicity 4)  4 Nd 3.13
Sb: 0.2500 0.2500 0.2500 (multiplicity 4)  4 Nd 3.13

Relative energy among the computed polymorphs ... 46 meV/atom
Crystal system ... cubic
Calculated total energy ... -4.68 eV/atom
Magnetic moment ... 0.01 Bohr magnetons per cell


4.
The following is a DFT calculation (PBE) of a geometry-optimized KBeBiPd structure.

Unit cell a=7.0393 b=7.0393 c=7.0393 alpha=90.00 beta=90.00 gamma=90.00
With the nearest neighbours (Å) after each atom.
Space group F-43m (No. 216)
Inequivalent atoms, fractional coordinates:
K: 0.0000 0.0000 0.0000 (multiplicity 4)  4 Bi 3.05, 4 Pd 3.05
Be: 0.0000 0.0000 0.5000 (multiplicity 4)  4 Bi 3.05, 4 Pd 3.05
Bi: 0.2500 0.2500 0.2500 (multiplicity 4)  4 Be 3.05, 4 K 3.05
Pd: 0.2500 0.2500 0.7500 (multiplicity 4)  4 K 3.05, 4 Be 3.05

Relative energy among the computed polymorphs ... 107 meV/atom
Crystal system ... cubic
Calculated total energy ... -3.03 eV/atom